The following is a DFT calculation (PBE+U) of a relaxed structure of FePbCl2O.

```
FePbCl2O
1.0
5.454 0.000 0.000
0.000 5.454 0.000
0.000 0.000 5.955
Fe Pb Cl O
1 1 2 1
direct
0.000 0.000 0.000 Fe
0.000 0.000 0.500 Pb
0.000 0.500 0.500 Cl
0.500 0.000 0.500 Cl
0.500 0.500 0.000 O
```

## Properties
- Magnetic moment: 5.9 Bohr magnetons per cell
- DFT total energy: -3.090 eV/atom
- ρ: 3.3 g cm⁻³
- V: 35.4 A^3/atom